# 1
DFT (PBE) results for crystalline CdIn3Hg6 at its relaxed geometry.

Unit cell a=3.3392 b=12.8116 c=13.0199 alpha=106.39 beta=90.00 gamma=90.00
Closest atoms and distances in Å follow each position.
Sites, in units of the cell vectors:
Hg  0.7500  0.5717  0.7060  3 Hg 3.03-3.34, 4 In 3.05-3.30
Hg  0.7500  0.1496  0.4891  3 Cd 3.01-3.12, 6 Hg 3.23-3.34, 2 In 3.37
Hg  0.7500  0.3217  0.0456  4 In 3.03-3.27, 4 Hg 3.31-3.34
Hg  0.2500  0.6783  0.9544  4 In 3.03-3.27, 4 Hg 3.31-3.34
Hg  0.7500  0.8090  0.7085  5 Hg 3.03-3.34, 3 In 3.11-3.34, 1 Cd 3.14
Hg  0.2500  0.2709  0.7104  5 Hg 3.14-3.34, 3 In 3.15-3.17, 2 Cd 3.33
Hg  0.2500  0.1910  0.2915  5 Hg 3.03-3.34, 3 In 3.11-3.34, 1 Cd 3.14
Hg  0.2500  0.1282  0.8704  2 Cd 3.11, 3 In 3.13-3.36, 5 Hg 3.14-3.34
Hg  0.2500  0.4283  0.2940  3 Hg 3.03-3.34, 4 In 3.05-3.30
Hg  0.2500  0.8504  0.5109  3 Cd 3.01-3.12, 6 Hg 3.23-3.34, 2 In 3.37
Hg  0.7500  0.8718  0.1296  2 Cd 3.11, 3 In 3.13-3.36, 5 Hg 3.14-3.34
Hg  0.7500  0.7291  0.2896  5 Hg 3.14-3.34, 3 In 3.15-3.17, 2 Cd 3.33
In  0.2500  0.5497  0.1234  6 Hg 3.05-3.27, 2 In 3.34
In  0.7500  0.0992  0.0842  6 Hg 3.03-3.36, 4 In 3.30-3.34
In  0.2500  0.3855  0.5244  7 Hg 3.17-3.37, 2 In 3.34
In  0.7500  0.6145  0.4756  7 Hg 3.17-3.37, 2 In 3.34
In  0.2500  0.9008  0.9158  6 Hg 3.03-3.36, 4 In 3.30-3.34
In  0.7500  0.4503  0.8766  6 Hg 3.05-3.27, 2 In 3.34
Cd  0.7500  0.0368  0.6628  8 Hg 3.01-3.33, 2 Cd 3.34
Cd  0.2500  0.9632  0.3372  8 Hg 3.01-3.33, 2 Cd 3.34

## Properties
The value obtained for the total energy is -1.08 eV/atom. The crystal system is monoclinic. The space-group type is P2_1/m (11). Its density of states at the Fermi level is 5.08 states/eV per cell. The distance to the lowest polymorph of the same formula is 0.0 meV per atom.



# 2
DFT (PBE) results for crystalline Cd3In5Hg16 at its relaxed geometry.

Unit cell a=7.6811 b=7.6811 c=13.0663 alpha=82.86 beta=82.86 gamma=60.05
Closest atoms and distances in Å follow each position.
Sites, in units of the cell vectors:
Hg  0.5126  0.8919  0.2019  2 Hg 2.92-3.19, 2 In 3.02-3.03, 1 Cd 3.23
Hg  0.5492  0.0646  0.6185  1 Cd 3.00, 3 Hg 3.05-3.27, 2 In 3.12-3.15
Hg  0.7289  0.7289  0.9008  3 Hg 2.92-3.16, 1 Cd 3.02, 2 In 3.14
Hg  0.0190  0.0190  0.0903  2 Cd 3.11, 3 Hg 3.11-3.17, 1 In 3.18
Hg  0.8059  0.8059  0.3862  1 In 3.01, 2 Cd 3.15, 2 Hg 3.28
Hg  0.2902  0.2902  0.4161  5 Hg 3.04-3.34, 1 In 3.12, 2 Cd 3.15
Hg  0.5550  0.5550  0.0650  3 Hg 2.92-3.19, 2 Cd 3.17, 1 In 3.21
Hg  0.4209  0.4209  0.7472  5 Hg 3.05-3.31, 2 In 3.18
Hg  0.7157  0.2785  0.4580  2 In 3.01-3.06, 1 Cd 3.03, 4 Hg 3.05-3.36
Hg  0.2062  0.2062  0.9097  3 In 2.98-3.05, 2 Hg 3.17-3.31
Hg  0.6834  0.1479  0.9407  2 In 3.08-3.10, 4 Hg 3.11-3.34, 1 Cd 3.20
Hg  0.0646  0.5492  0.6185  1 Cd 3.00, 3 Hg 3.05-3.27, 2 In 3.12-3.15
Hg  0.2785  0.7157  0.4580  2 In 3.01-3.06, 1 Cd 3.03, 4 Hg 3.05-3.36
Hg  0.1479  0.6834  0.9407  2 In 3.08-3.10, 4 Hg 3.11-3.34, 1 Cd 3.20
Hg  0.8919  0.5126  0.2019  2 Hg 2.92-3.19, 2 In 3.02-3.03, 1 Cd 3.23
Hg  0.1032  0.1032  0.5798  1 Cd 3.01, 3 Hg 3.04-3.14, 2 In 3.19
Cd  0.6445  0.2134  0.2461  6 Hg 3.03-3.23, 2 In 3.14-3.30, 1 Cd 3.31
Cd  0.2134  0.6445  0.2461  6 Hg 3.03-3.23, 2 In 3.14-3.30, 1 Cd 3.31
Cd  0.9145  0.9145  0.7372  6 Hg 3.00-3.20, 2 In 3.28
In  0.8558  0.3562  0.7741  6 Hg 3.05-3.19, 1 Cd 3.28, 1 In 3.30
In  0.0946  0.0946  0.3101  6 Hg 3.03-3.18, 2 Cd 3.30
In  0.3562  0.8558  0.7741  6 Hg 3.05-3.19, 1 Cd 3.28, 1 In 3.30
In  0.6371  0.6371  0.5667  5 Hg 3.01-3.15, 2 In 3.30
In  0.3112  0.3112  0.0967  6 Hg 2.98-3.21, 2 Cd 3.14

## Properties
The value obtained for the total energy is -0.85 eV/atom. The crystal system is monoclinic. The space-group type is Cm (8). Its density of states at the Fermi level is 8.09 states/eV per cell.



# 3
DFT (PBE) results for crystalline CdIn3Hg7 at its relaxed geometry.

Unit cell a=5.8850 b=8.1432 c=8.1432 alpha=88.82 beta=116.15 gamma=116.15
Closest atoms and distances in Å follow each position.
Sites, in units of the cell vectors:
In  0.0000  0.2380  0.7620  7 Hg 2.99-3.19
In  0.0000  0.7620  0.2380  7 Hg 2.99-3.19
In  0.5000  0.0000  0.0000  8 Hg 3.13-3.39
Hg  0.3259  0.5923  0.0659  3 In 3.06-3.16, 3 Hg 3.08-3.32, 1 Cd 3.39
Hg  0.6741  0.4077  0.9341  3 In 3.06-3.16, 3 Hg 3.08-3.32, 1 Cd 3.39
Hg  0.0000  0.5000  0.5000  2 Cd 2.94, 2 In 2.99
Hg  0.7758  0.8170  0.8170  1 Cd 2.98, 2 In 3.19, 2 Hg 3.32
Hg  0.6741  0.9341  0.4077  3 In 3.06-3.16, 3 Hg 3.08-3.32, 1 Cd 3.39
Hg  0.2242  0.1830  0.1830  1 Cd 2.98, 2 In 3.19, 2 Hg 3.32
Hg  0.3259  0.0659  0.5923  3 In 3.06-3.16, 3 Hg 3.08-3.32, 1 Cd 3.39
Cd  0.5000  0.5000  0.5000  4 Hg 2.94-2.98

## Properties
The value obtained for the total energy is -0.99 eV/atom. The crystal system is monoclinic. The space-group type is C2/m (12). Its density of states at the Fermi level is 3.17 states/eV per cell.



# 4
DFT (PBE) results for crystalline Cd10InHg2 at its relaxed geometry.

Unit cell a=6.2538 b=7.7901 c=7.7663 alpha=80.70 beta=66.26 gamma=66.33
Closest atoms and distances in Å follow each position.
Sites, in units of the cell vectors:
Cd  0.3502  0.6515  0.6482  5 Cd 3.02-3.27, 2 Hg 3.14
Cd  0.0016  0.3485  0.6482  5 Cd 3.02-3.27, 2 Hg 3.14
Cd  0.9984  0.6515  0.3518  5 Cd 3.02-3.27, 2 Hg 3.14
Cd  0.2856  0.2137  0.2150  6 Cd 2.98-3.27, 2 Hg 2.99
Cd  0.4993  0.7863  0.2150  6 Cd 2.98-3.27, 2 Hg 2.99
Cd  0.6498  0.3485  0.3518  5 Cd 3.02-3.27, 2 Hg 3.14
Cd  0.5007  0.2137  0.7850  6 Cd 2.98-3.27, 2 Hg 2.99
Cd  0.7144  0.7863  0.7850  6 Cd 2.98-3.27, 2 Hg 2.99
Cd  0.0000  0.0000  0.5000  10 Cd 2.98-3.13
Cd  0.5000  0.0000  0.5000  10 Cd 2.98-3.13
Hg  0.0000  0.5000  0.0000  8 Cd 2.99-3.14, 2 Hg 3.13
Hg  0.5000  0.5000  0.0000  8 Cd 2.99-3.14, 2 Hg 3.13
In  0.0000  0.0000  0.0000  16 Cd 3.53-3.88, 4 Hg 3.90

## Properties
The value obtained for the total energy is -0.90 eV/atom. The crystal system is orthorhombic. The space-group type is Fmmm (69). Its density of states at the Fermi level is 5.17 states/eV per cell.



# 5
DFT (PBE) results for crystalline CdInHg14 at its relaxed geometry.

Unit cell a=7.9312 b=7.9312 c=9.3058 alpha=90.00 beta=90.00 gamma=130.68
Closest atoms and distances in Å follow each position.
Sites, in units of the cell vectors:
In  0.2068  0.7932  0.0000  8 Hg 3.13-3.35, 2 Cd 3.31
Hg  0.3229  0.1795  0.7836  6 Hg 3.11-3.35, 1 Cd 3.18, 1 In 3.26
Hg  0.8205  0.6771  0.7836  6 Hg 3.11-3.35, 1 Cd 3.18, 1 In 3.26
Hg  0.8205  0.6771  0.2164  6 Hg 3.11-3.35, 1 Cd 3.18, 1 In 3.26
Hg  0.1574  0.8426  0.5000  10 Hg 3.10-3.39
Hg  0.3219  0.6781  0.7143  7 Hg 3.10-3.38, 1 In 3.13
Hg  0.7057  0.8032  0.5000  10 Hg 3.16-3.41
Hg  0.1968  0.2943  0.5000  10 Hg 3.16-3.41
Hg  0.3219  0.6781  0.2857  7 Hg 3.10-3.38, 1 In 3.13
Hg  0.1540  0.3390  0.0000  8 Hg 3.11-3.38, 1 In 3.35, 1 Cd 3.43
Hg  0.8164  0.1836  0.2787  7 Hg 3.09-3.33, 1 Cd 3.10
Hg  0.8164  0.1836  0.7213  7 Hg 3.09-3.33, 1 Cd 3.10
Hg  0.6610  0.8460  0.0000  8 Hg 3.11-3.38, 1 In 3.35, 1 Cd 3.43
Hg  0.6567  0.3433  0.5000  10 Hg 3.09-3.41
Hg  0.3229  0.1795  0.2164  6 Hg 3.11-3.35, 1 Cd 3.18, 1 In 3.26
Cd  0.6981  0.3019  0.0000  8 Hg 3.10-3.43, 2 In 3.31

## Properties
The value obtained for the total energy is -0.48 eV/atom. The crystal system is orthorhombic. The space-group type is Amm2 (38). Its density of states at the Fermi level is 4.36 states/eV per cell.



# 6
DFT (PBE) results for crystalline CdIn10Hg4 at its relaxed geometry.

Unit cell a=4.4663 b=3.8663 c=32.3795 alpha=133.72 beta=85.43 gamma=91.38
Closest atoms and distances in Å follow each position.
Sites, in units of the cell vectors:
Hg  0.8050  0.8034  0.6005  6 In 3.10-3.17
Hg  0.1950  0.1966  0.3995  6 In 3.10-3.17
Hg  0.5890  0.5968  0.1997  6 In 3.10-3.16
Hg  0.4110  0.4032  0.8003  6 In 3.10-3.16
In  0.1322  0.4570  0.2658  3 Hg 3.10-3.17, 4 In 3.18-3.44
In  0.9539  0.2716  0.8675  2 Hg 3.11-3.15, 1 Cd 3.13, 4 In 3.18-3.41
In  0.8678  0.5430  0.7342  3 Hg 3.10-3.17, 4 In 3.18-3.44
In  0.7417  0.0656  0.4669  3 Hg 3.10-3.17, 4 In 3.19-3.42
In  0.2583  0.9344  0.5331  3 Hg 3.10-3.17, 4 In 3.19-3.42
In  0.5322  0.8603  0.0666  3 Cd 3.13-3.45, 1 Hg 3.15, 4 In 3.16-3.41
In  0.6522  0.3336  0.3332  3 Hg 3.10-3.16, 4 In 3.19-3.44
In  0.3478  0.6664  0.6668  3 Hg 3.10-3.16, 4 In 3.19-3.44
In  0.4678  0.1397  0.9334  3 Cd 3.13-3.45, 1 Hg 3.15, 4 In 3.16-3.41
In  0.0461  0.7284  0.1325  2 Hg 3.11-3.15, 1 Cd 3.13, 4 In 3.18-3.41
Cd  0.0000  0.0000  0.0000  8 In 3.13-3.45

## Properties
The value obtained for the total energy is -1.95 eV/atom. The crystal system is triclinic. The space-group type is P-1 (2). Its density of states at the Fermi level is 4.12 states/eV per cell.